P.
This record from Alexandria via LeMat-Bulk describes a geometry-optimized CaSb2IF structure. The functional is PBE.

N(E_F), states/eV/atom: 0.8097

Structure (CIF):
```
data_CaSb2IF
_cell_length_a 5.891
_cell_length_b 5.891
_cell_length_c 5.781
_cell_angle_alpha 90.00
_cell_angle_beta 90.00
_cell_angle_gamma 90.00
_space_group_name_H-M_alt 'P 4/m m m'
_space_group_IT_number 123
_space_group_name_Hall '-P 4 2'
loop_
_atom_site_label
_atom_site_fract_x
_atom_site_fract_y
_atom_site_fract_z
Ca1 0.000 0.000 0.000
Sb1 0.000 0.500 0.000
I1 0.000 0.000 0.500
F1 0.500 0.500 0.500
```

***

Q.
This record from Alexandria via LeMat-Bulk describes a geometry-optimized CaSb2IF structure. The functional is PBE.

N(E_F), states/eV/atom: 0.7516

Structure (CIF):
```
data_CaSb2IF
_cell_length_a 4.721
_cell_length_b 4.721
_cell_length_c 6.328
_cell_angle_alpha 90.00
_cell_angle_beta 90.00
_cell_angle_gamma 90.00
_space_group_name_H-M_alt 'P 4/m m m'
_space_group_IT_number 123
_space_group_name_Hall '-P 4 2'
loop_
_atom_site_label
_atom_site_fract_x
_atom_site_fract_y
_atom_site_fract_z
Ca1 0.000 0.000 0.000
Sb1 0.000 0.500 0.500
I1 0.500 0.500 0.000
F1 0.500 0.500 0.500
```

***

According to the calculations, the structures order from most to least stable as Q, P.

***

P.
This record from Alexandria via LeMat-Bulk describes a geometry-optimized Ca2InF structure. The functional is PBE.

N(E_F), states/eV/atom: 0.3556

Structure (CIF):
```
data_Ca2InF
_cell_length_a 3.430
_cell_length_b 3.430
_cell_length_c 8.039
_cell_angle_alpha 90.00
_cell_angle_beta 90.00
_cell_angle_gamma 90.00
_space_group_name_H-M_alt 'P 4/m m m'
_space_group_IT_number 123
_space_group_name_Hall '-P 4 2'
loop_
_atom_site_label
_atom_site_fract_x
_atom_site_fract_y
_atom_site_fract_z
Ca1 0.000 0.000 0.228
In1 0.500 0.500 0.500
F1 0.500 0.500 0.000
```

***

Q.
This record from Alexandria via LeMat-Bulk describes a geometry-optimized Ca2InF structure. The functional is PBE.

N(E_F), states/eV/atom: 0.9118

Structure (CIF):
```
data_Ca2InF
_cell_length_a 7.519
_cell_length_b 7.519
_cell_length_c 7.519
_cell_angle_alpha 90.00
_cell_angle_beta 90.00
_cell_angle_gamma 90.00
_space_group_name_H-M_alt 'F m -3 m'
_space_group_IT_number 225
_space_group_name_Hall '-F 4 2 3'
loop_
_atom_site_label
_atom_site_fract_x
_atom_site_fract_y
_atom_site_fract_z
Ca1 0.250 0.250 0.250
In1 0.000 0.000 0.000
F1 0.000 0.000 0.500
```

***

According to the calculations, the structures order from most to least stable as P, Q.

***

P.
This record from Alexandria via LeMat-Bulk describes a geometry-optimized Ca2InF structure. The functional is PBE.

N(E_F), states/eV/atom: 0.3126

Structure (CIF):
```
data_Ca2InF
_cell_length_a 7.243
_cell_length_b 7.243
_cell_length_c 8.047
_cell_angle_alpha 90.00
_cell_angle_beta 90.00
_cell_angle_gamma 90.00
_space_group_name_H-M_alt 'I -4 2 d'
_space_group_IT_number 122
_space_group_name_Hall 'I -4 2bw'
loop_
_atom_site_label
_atom_site_fract_x
_atom_site_fract_y
_atom_site_fract_z
Ca1 0.149 0.250 0.125
In1 0.000 0.000 0.500
F1 0.000 0.000 0.000
```

***

Q.
This record from Alexandria via LeMat-Bulk describes a geometry-optimized Ca2InF structure. The functional is PBE.

N(E_F), states/eV/atom: 0.2721

Structure (CIF):
```
data_Ca2InF
_cell_length_a 3.8301
_cell_length_b 3.8301
_cell_length_c 23.3543
_cell_angle_alpha 90.00
_cell_angle_beta 90.00
_cell_angle_gamma 120.00
_space_group_name_H-M_alt 'R -3 m'
_space_group_IT_number 166
_space_group_name_Hall '-R 3 2"'
loop_
_atom_site_label
_atom_site_fract_x
_atom_site_fract_y
_atom_site_fract_z
Ca1 0.0000 0.0000 0.2337
In1 0.0000 0.0000 0.0000
F1 0.0000 0.0000 0.5000
```

***

According to the calculations, the structures order from most to least stable as P, Q.

***

P.
This record from Alexandria via LeMat-Bulk describes a geometry-optimized CaInF2 structure. The functional is PBE.

N(E_F), states/eV/atom: 0.2233

Structure (CIF):
```
data_CaInF2
_cell_length_a 3.5480
_cell_length_b 3.5480
_cell_length_c 25.4961
_cell_angle_alpha 90.00
_cell_angle_beta 90.00
_cell_angle_gamma 120.00
_space_group_name_H-M_alt 'R -3 m'
_space_group_IT_number 166
_space_group_name_Hall '-R 3 2"'
loop_
_atom_site_label
_atom_site_fract_x
_atom_site_fract_y
_atom_site_fract_z
Ca1 0.0000 0.0000 0.0000
In1 0.0000 0.0000 0.5000
F1 0.0000 0.0000 0.3721
```

***

Q.
This record from Alexandria via LeMat-Bulk describes a geometry-optimized CaInF2 structure. The functional is PBE.

N(E_F), states/eV/atom: 0.9079

Structure (CIF):
```
data_CaInF2
_cell_length_a 6.625
_cell_length_b 6.625
_cell_length_c 6.625
_cell_angle_alpha 90.00
_cell_angle_beta 90.00
_cell_angle_gamma 90.00
_space_group_name_H-M_alt 'F m -3 m'
_space_group_IT_number 225
_space_group_name_Hall '-F 4 2 3'
loop_
_atom_site_label
_atom_site_fract_x
_atom_site_fract_y
_atom_site_fract_z
Ca1 0.000 0.000 0.000
In1 0.000 0.000 0.500
F1 0.250 0.250 0.250
```

***

According to the calculations, the structures order from most to least stable as P, Q.

***

P.
This record from Alexandria via LeMat-Bulk describes a geometry-optimized CaIn3F structure. The functional is PBE.

N(E_F), states/eV/atom: 0.6740

Structure (CIF):
```
data_CaIn3F
_cell_length_a 5.071
_cell_length_b 5.071
_cell_length_c 5.071
_cell_angle_alpha 90.00
_cell_angle_beta 90.00
_cell_angle_gamma 90.00
_space_group_name_H-M_alt 'P m -3 m'
_space_group_IT_number 221
_space_group_name_Hall '-P 4 2 3'
loop_
_atom_site_label
_atom_site_fract_x
_atom_site_fract_y
_atom_site_fract_z
Ca1 0.000 0.000 0.000
In1 0.000 0.500 0.500
F1 0.500 0.500 0.500
```

***

Q.
This record from Alexandria via LeMat-Bulk describes a geometry-optimized CaIn3F structure. The functional is PBE.

N(E_F), states/eV/atom: 1.7876

Structure (CIF):
```
data_CaIn3F
_cell_length_a 6.129
_cell_length_b 6.129
_cell_length_c 6.129
_cell_angle_alpha 90.00
_cell_angle_beta 90.00
_cell_angle_gamma 90.00
_space_group_name_H-M_alt 'P m -3 m'
_space_group_IT_number 221
_space_group_name_Hall '-P 4 2 3'
loop_
_atom_site_label
_atom_site_fract_x
_atom_site_fract_y
_atom_site_fract_z
Ca1 0.000 0.000 0.000
In1 0.000 0.000 0.500
F1 0.500 0.500 0.500
```

***

According to the calculations, the structures order from most to least stable as P, Q.

***

P.
This record from Alexandria via LeMat-Bulk describes a geometry-optimized Li2CaInF structure. The functional is PBE.

N(E_F), states/eV/atom: 1.1149

Structure (CIF):
```
data_Li2CaInF
_cell_length_a 6.128
_cell_length_b 6.128
_cell_length_c 6.126
_cell_angle_alpha 90.00
_cell_angle_beta 90.00
_cell_angle_gamma 90.00
_space_group_name_H-M_alt 'P 4/m m m'
_space_group_IT_number 123
_space_group_name_Hall '-P 4 2'
loop_
_atom_site_label
_atom_site_fract_x
_atom_site_fract_y
_atom_site_fract_z
Li1 0.000 0.500 0.000
Ca1 0.000 0.000 0.000
In1 0.000 0.000 0.500
F1 0.500 0.500 0.500
```

***

Q.
This record from Alexandria via LeMat-Bulk describes a geometry-optimized Li2CaInF structure. The functional is PBE.

N(E_F), states/eV/atom: 0.5912

Structure (CIF):
```
data_Li2CaInF
_cell_length_a 4.667
_cell_length_b 4.667
_cell_length_c 4.544
_cell_angle_alpha 90.00
_cell_angle_beta 90.00
_cell_angle_gamma 90.00
_space_group_name_H-M_alt 'P 4/m m m'
_space_group_IT_number 123
_space_group_name_Hall '-P 4 2'
loop_
_atom_site_label
_atom_site_fract_x
_atom_site_fract_y
_atom_site_fract_z
Li1 0.000 0.500 0.000
Ca1 0.000 0.000 0.500
In1 0.500 0.500 0.500
F1 0.000 0.000 0.000
```

***

According to the calculations, the structures order from most to least stable as Q, P.

***

P.
This record from Alexandria via LeMat-Bulk describes a geometry-optimized CaInPtF2 structure. The functional is PBE.

N(E_F), states/eV/atom: 0.2031

Structure (CIF):
```
data_CaInPtF2
_cell_length_a 4.160
_cell_length_b 4.160
_cell_length_c 6.277
_cell_angle_alpha 90.00
_cell_angle_beta 90.00
_cell_angle_gamma 90.00
_space_group_name_H-M_alt 'P 4/m m m'
_space_group_IT_number 123
_space_group_name_Hall '-P 4 2'
loop_
_atom_site_label
_atom_site_fract_x
_atom_site_fract_y
_atom_site_fract_z
Ca1 0.000 0.000 0.000
In1 0.500 0.500 0.500
Pt1 0.000 0.000 0.500
F1 0.000 0.500 0.000
```

***

Q.
This record from Alexandria via LeMat-Bulk describes a geometry-optimized CaInPtF2 structure. The functional is PBE.

N(E_F), states/eV/atom: 0.7372

Structure (CIF):
```
data_CaInPtF2
_cell_length_a 4.615
_cell_length_b 4.615
_cell_length_c 5.372
_cell_angle_alpha 90.00
_cell_angle_beta 90.00
_cell_angle_gamma 90.00
_space_group_name_H-M_alt 'P 4/m m m'
_space_group_IT_number 123
_space_group_name_Hall '-P 4 2'
loop_
_atom_site_label
_atom_site_fract_x
_atom_site_fract_y
_atom_site_fract_z
Ca1 0.000 0.000 0.000
In1 0.500 0.500 0.000
Pt1 0.000 0.000 0.500
F1 0.000 0.500 0.500
```

***

According to the calculations, the structures order from most to least stable as P, Q.

***

P.
This record from Alexandria via LeMat-Bulk describes a geometry-optimized CaIrF structure. The functional is PBE.

N(E_F), states/eV/atom: 0.5122

Structure (CIF):
```
data_CaIrF
_cell_length_a 3.940
_cell_length_b 4.153
_cell_length_c 8.105
_cell_angle_alpha 76.58
_cell_angle_beta 75.98
_cell_angle_gamma 63.80
_space_group_name_H-M_alt 'P -1'
_space_group_IT_number 2
loop_
_space_group_symop_operation_xyz
'x,y,z'
'-x,-y,-z'
loop_
_atom_site_label
_atom_site_fract_x
_atom_site_fract_y
_atom_site_fract_z
Ca1 0.104 0.084 0.204
Ir1 0.334 0.317 0.491
F1 0.202 0.205 0.906
```

***

Q.
This record from Alexandria via LeMat-Bulk describes a geometry-optimized CaIrF structure. The functional is PBE.

N(E_F), states/eV/atom: 0.5024

Structure (CIF):
```
data_CaIrF
_cell_length_a 3.801
_cell_length_b 13.251
_cell_length_c 4.403
_cell_angle_alpha 90.00
_cell_angle_beta 90.00
_cell_angle_gamma 90.00
_space_group_name_H-M_alt 'C m c m'
_space_group_IT_number 63
_space_group_name_Hall '-C 2c 2'
loop_
_atom_site_label
_atom_site_fract_x
_atom_site_fract_y
_atom_site_fract_z
Ca1 0.000 0.153 0.250
Ir1 0.000 0.470 0.250
F1 0.000 0.247 0.750
```

***

R.
This record from Alexandria via LeMat-Bulk describes a geometry-optimized CaIrF structure. The functional is PBE.

N(E_F), states/eV/atom: 0.7902

Structure (CIF):
```
data_CaIrF
_cell_length_a 3.703
_cell_length_b 3.703
_cell_length_c 7.704
_cell_angle_alpha 90.00
_cell_angle_beta 90.00
_cell_angle_gamma 90.00
_space_group_name_H-M_alt 'P 4/n m m'
_space_group_IT_number 129
loop_
_space_group_symop_operation_xyz
'x,y,z'
'-x,-y,-z'
'-y+1/2,x,z'
'y+1/2,-x,-z'
'-x+1/2,-y+1/2,z'
'x+1/2,y+1/2,-z'
'y,-x+1/2,z'
'-y,x+1/2,-z'
'x+1/2,-y,-z'
'-x+1/2,y,z'
'-y,-x,-z'
'y,x,z'
'-x,y+1/2,-z'
'x,-y+1/2,z'
'y+1/2,x+1/2,-z'
'-y+1/2,-x+1/2,z'
loop_
_atom_site_label
_atom_site_fract_x
_atom_site_fract_y
_atom_site_fract_z
Ca1 0.250 0.250 0.180
Ir1 0.250 0.750 0.500
F1 0.250 0.750 0.000
```

***

According to the calculations, the structures order from most to least stable as P, R, Q.